(1)
# Pd2Pb2Au (PBE, relaxed)
# Fermi-level density of states = 6.6 states/eV per cell
# Formation energy from the elements = -0.157 eV/atom
data_Pd2Pb2Au
_symmetry_space_group_name_H-M 'C 1 2/m 1'
_symmetry_Int_Tables_number 12
_cell_length_a 10.770
_cell_length_b 4.385
_cell_length_c 9.896
_cell_angle_alpha 90.00
_cell_angle_beta 113.99
_cell_angle_gamma 90.00
loop_
_symmetry_equiv_pos_as_xyz
'x,y,z'
'-x,-y,-z'
'-x,y,-z'
'x,-y,z'
'x+1/2,y+1/2,z'
'-x+1/2,-y+1/2,-z'
'-x+1/2,y+1/2,-z'
'x+1/2,-y+1/2,z'
loop_
_atom_site_label
_atom_site_type_symbol
_atom_site_fract_x
_atom_site_fract_y
_atom_site_fract_z
Pd1 Pd 0.036 0.000 0.380
Pd2 Pd 0.127 0.000 0.128
Pb1 Pb 0.013 0.500 0.830
Pb2 Pb 0.175 0.500 0.584
Au1 Au 0.217 0.000 0.886

(2)
# Tm2TlHg3 (PBE, relaxed)
# Fermi-level density of states = 2.7 states/eV per cell
# Formation energy from the elements = -0.319 eV/atom
data_Tm2TlHg3
_symmetry_space_group_name_H-M 'P 4/m m m'
_symmetry_Int_Tables_number 123
_symmetry_space_group_name_Hall '-P 4 2'
_cell_length_a 3.762
_cell_length_b 3.762
_cell_length_c 10.789
_cell_angle_alpha 90.00
_cell_angle_beta 90.00
_cell_angle_gamma 90.00
loop_
_atom_site_label
_atom_site_type_symbol
_atom_site_fract_x
_atom_site_fract_y
_atom_site_fract_z
Tm1 Tm 0.000 0.000 0.169
Tl1 Tl 0.000 0.000 0.500
Hg1 Hg 0.500 0.500 0.000
Hg2 Hg 0.500 0.500 0.318

no.,final energy (eV for the cell shown)
1,-87.46
2,-14.13